An optimized crystal structure of Nd2TiVO6, computed with GGA+U.

Cell lengths 5.5013, 5.7596, 9.5953 Å; angles 90.00, 124.70, 90.00 degrees
Closest atoms and distances in Å follow each position.
Fractional positions:
Nd (0.2338, 0.0599, 0.2488)  6 O 2.35-2.62
Nd (0.2338, 0.4401, 0.7488)  6 O 2.35-2.62
Nd (0.7662, 0.5599, 0.2512)  6 O 2.35-2.62
Nd (0.7662, 0.9401, 0.7512)  6 O 2.35-2.62
Ti (0.5000, 0.0000, 0.0000)  6 O 1.98-2.00
Ti (0.5000, 0.5000, 0.5000)  6 O 1.98-2.00
V (0.0000, 0.0000, 0.5000)  6 O 2.13-2.15
V (0.0000, 0.5000, 0.0000)  6 O 2.13-2.15
O (0.1604, 0.1915, 0.9515)  1 Ti 1.98, 1 V 2.15
O (0.1604, 0.3085, 0.4515)  1 Ti 1.98, 1 V 2.15
O (0.2566, 0.7129, 0.9456)  1 Ti 2.00, 1 V 2.15
O (0.2566, 0.7871, 0.4456)  1 Ti 2.00, 1 V 2.15
O (0.3586, 0.0337, 0.7594)  1 Ti 1.98, 1 V 2.13
O (0.3586, 0.4663, 0.2594)  1 Ti 1.98, 1 V 2.13
O (0.6414, 0.5337, 0.7406)  1 Ti 1.98, 1 V 2.13
O (0.6414, 0.9663, 0.2406)  1 Ti 1.98, 1 V 2.13
O (0.7434, 0.2129, 0.5544)  1 Ti 2.00, 1 V 2.15
O (0.7434, 0.2871, 0.0544)  1 Ti 2.00, 1 V 2.15
O (0.8396, 0.6915, 0.5485)  1 Ti 1.98, 1 V 2.15
O (0.8396, 0.8085, 0.0485)  1 Ti 1.98, 1 V 2.15

The value obtained for the total magnetic moment is 6.00 Bohr magnetons per cell. The space group is P2_1/c, No. 14. As for the energy: -169.73 eV/cell.